[1]
12
Lattice="-2.674 -3.477 2.224 4.125 -2.338 1.304 0.432 8.201 13.337" Properties=species:S:1:pos:R:3 comment="CaLa2Bi9, relaxed, DFT PBE" delta_e_f_mev_per_atom=-498.6 magmom_total_mub_per_fu=0.00 pbc="T T T"
Ca 0.000 0.000 0.000
Bi 0.726 -2.907 1.764
Bi -0.977 5.107 12.245
Bi 2.278 2.931 7.321
Bi -1.121 2.362 7.781
Bi 2.134 0.186 2.857
Bi 2.423 5.676 11.785
Bi -1.266 -0.383 3.317
Bi 0.869 -0.194 6.177
Bi 1.015 2.580 10.689
La 0.145 2.756 4.483
La 0.287 5.445 8.855

***

[2]
4
Lattice="-3.287 0.390 1.879 0.649 -3.281 1.817 3.438 3.596 5.266" Properties=species:S:1:pos:R:3 comment="AgSbTe2, relaxed, DFT PBE" raw_formation_energy_ev_per_atom=0.224 magmom_total_mub_per_fu=0.00 pbc="T T T"
Te -0.493 -0.582 3.113
Te 1.293 1.286 5.849
Ag 0.000 0.000 0.000
Sb 1.719 1.798 2.633